DFT (GGA+U) results for a relaxed structure of Rb3CrO3.

Values from the calculation:
**Spin magnetization**: 12.0 μB per cell
**Volume**: 600.3 Å³/cell
**E**: -5.009 eV/atom

Cell and atoms, written as CIF:
```
data_Rb3CrO3
_chemical_formula_sum 'Rb12 Cr4 O12'
_cell_length_a 7.600
_cell_length_b 6.955
_cell_length_c 11.395
_cell_angle_alpha 90.00
_cell_angle_beta 94.63
_cell_angle_gamma 90.00
_space_group_name_H-M_alt 'P 1 21/c 1'
_space_group_IT_number 14
_space_group_name_Hall '-P 2ybc'
loop_
_atom_site_label
_atom_site_type_symbol
_atom_site_fract_x
_atom_site_fract_y
_atom_site_fract_z
_atom_site_occupancy
Rb1 Rb 0.043 0.121 0.163 1
Rb2 Rb 0.344 0.180 0.927 1
Rb3 Rb 0.382 0.687 0.812 1
Cr1 Cr 0.158 0.590 0.067 1
O1 O 0.099 0.006 0.407 1
O2 O 0.267 0.043 0.695 1
O3 O 0.267 0.672 0.539 1
```